A plane-wave DFT calculation with PBE was carried out for In2NiSbMo after structural relaxation.

CIF file:
```
data_In2NiSbMo
_cell_length_a 5.653
_cell_length_b 5.653
_cell_length_c 4.626
_cell_angle_alpha 90.00
_cell_angle_beta 90.00
_cell_angle_gamma 90.00
_space_group_name_H-M_alt 'P 4/m m m'
_space_group_IT_number 123
_space_group_name_Hall '-P 4 2'
loop_
_atom_site_label
_atom_site_type_symbol
_atom_site_fract_x
_atom_site_fract_y
_atom_site_fract_z
_atom_site_occupancy
In1 In 0.000 0.500 0.000 1
Ni1 Ni 0.000 0.000 0.500 1
Sb1 Sb 0.000 0.000 0.000 1
Mo1 Mo 0.500 0.500 0.500 1
```

Spin magnetization in μB per formula unit: 4.67
E_tot in eV/cell: -19.73
Density of states at the Fermi level in states/eV/f.u.: 1.90
E_form (uncorrected) in kJ/mol of formula units: 626